Entry 1:
A relaxed structure of Ce2Mg3Hg2. Source: the Alexandria database, functional PBE.

The structure in POSCAR format:
```
Ce2Mg3Hg2
1.0
-2.9928 -1.2797 0.0790
1.3514 -3.3747 -3.4704
2.4905 -5.2259 9.6908
Ce Mg Hg
2 3 2
direct
0.0000 0.8434 0.6869 Ce
0.0000 0.1566 0.3131 Ce
0.5000 0.5704 0.1409 Mg
0.5000 0.4296 0.8591 Mg
0.0000 0.0000 0.0000 Mg
0.5000 0.7099 0.4198 Hg
0.5000 0.2901 0.5802 Hg
```

## Properties
calculated formation energy: -0.97 eV per formula unit
space group: No. 65

---

Entry 2:
A relaxed structure of CeMg4Hg. Source: the Alexandria database, functional PBE.

The structure in POSCAR format:
```
CeMg4Hg
1.0
4.5158 0.0000 0.0000
0.0000 7.8410 0.0000
0.0000 0.0000 8.4670
Ce Mg Hg
2 8 2
direct
0.0000 0.6217 0.7500 Ce
0.0000 0.3783 0.2500 Ce
0.0000 0.0000 0.5000 Mg
0.0000 0.0000 0.0000 Mg
0.5000 0.9440 0.7500 Mg
0.5000 0.0560 0.2500 Mg
0.5000 0.6893 0.0523 Mg
0.5000 0.3107 0.9477 Mg
0.5000 0.6893 0.4477 Mg
0.5000 0.3107 0.5523 Mg
0.0000 0.2231 0.7500 Hg
0.0000 0.7769 0.2500 Hg
```

## Properties
calculated formation energy: -0.63 eV per formula unit
space group: No. 51

---

Entry 3:
A relaxed structure of Ce2MgHg3. Source: the Alexandria database, functional PBE.

The structure in POSCAR format:
```
Ce2MgHg3
1.0
-4.9322 -0.5991 -0.5097
0.9390 -4.1152 -4.2495
2.6268 -7.3898 7.7368
Ce Mg Hg
4 2 6
direct
0.1615 0.7500 0.3230 Ce
0.8385 0.2500 0.6770 Ce
0.9814 0.7500 0.9629 Ce
0.0186 0.2500 0.0371 Ce
0.3203 0.7500 0.6406 Mg
0.6797 0.2500 0.3594 Mg
0.4270 0.4851 0.8540 Hg
0.5730 0.5149 0.1460 Hg
0.4270 0.0149 0.8540 Hg
0.5730 0.9851 0.1460 Hg
0.7575 0.7500 0.5151 Hg
0.2425 0.2500 0.4849 Hg
```

## Properties
calculated formation energy: -1.34 eV per formula unit
energy above the lowest structure with this stoichiometry: 0.114 eV/atom
space group: No. 63

---

Entry 4:
A relaxed structure of CeMg4Hg8. Source: the Alexandria database, functional PBE.

The structure in POSCAR format:
```
CeMg4Hg8
1.0
5.7543 0.0000 2.3130
2.8771 6.9719 1.1565
0.2770 0.0000 7.6253
Ce Mg Hg
1 4 8
direct
0.0000 0.0000 0.0000 Ce
0.0000 0.0000 0.5000 Mg
0.5000 0.0000 0.5000 Mg
0.0000 0.5000 0.0000 Mg
0.5000 0.5000 0.0000 Mg
0.0000 0.3360 0.6640 Hg
0.0000 0.6640 0.3360 Hg
0.3360 0.6640 0.6640 Hg
0.6640 0.3360 0.3360 Hg
0.5000 0.7827 0.2173 Hg
0.5000 0.2173 0.7827 Hg
0.2827 0.2173 0.2173 Hg
0.7173 0.7827 0.7827 Hg
```

## Properties
calculated formation energy: -2.62 eV per formula unit
space group: No. 139

---

Entry 5:
A relaxed structure of CeNdMg2Hg4. Source: the Alexandria database, functional PBE.

The structure in POSCAR format:
```
CeNdMg2Hg4
1.0
5.1825 0.0000 0.0000
2.5913 4.4882 0.0000
2.5913 1.4961 8.4802
Ce Nd Mg Hg
1 1 2 4
direct
0.0000 0.0000 0.0000 Ce
0.5000 0.5000 0.5000 Nd
0.7497 0.7497 0.7509 Mg
0.2503 0.2503 0.2491 Mg
0.3749 0.3749 0.8752 Hg
0.8751 0.8751 0.3746 Hg
0.1249 0.1249 0.6254 Hg
0.6251 0.6251 0.1248 Hg
```

## Properties
calculated formation energy: -3.46 eV per formula unit
space group: No. 166

---

Entry 6:
A relaxed structure of CeNdMgHg. Source: the Alexandria database, functional PBE.

The structure in POSCAR format:
```
CeNdMgHg
1.0
5.4444 0.0000 0.0000
2.7222 4.7150 0.0000
2.7222 1.5717 4.4453
Mg Nd Hg Ce
1 1 1 1
direct
0.0000 0.0000 0.0000 Mg
0.7500 0.7500 0.7500 Nd
0.5000 0.5000 0.5000 Hg
0.2500 0.2500 0.2500 Ce
```

## Properties
calculated formation energy: -0.64 eV per formula unit
space group: No. 216

---

Entry 7:
A relaxed structure of CePmMgHg. Source: the Alexandria database, functional PBE.

The structure in POSCAR format:
```
CePmMgHg
1.0
5.4256 0.0000 0.0000
2.7128 4.6987 0.0000
2.7128 1.5662 4.4300
Mg Hg Ce Pm
1 1 1 1
direct
0.5000 0.5000 0.5000 Mg
0.0000 0.0000 0.0000 Hg
0.7500 0.7500 0.7500 Ce
0.2500 0.2500 0.2500 Pm
```

## Properties
calculated formation energy: -0.65 eV per formula unit
space group: No. 216

---

Entry 8:
A relaxed structure of CeMgHgPt. Source: the Alexandria database, functional PBE.

The structure in POSCAR format:
```
CeMgHgPt
1.0
4.9982 0.0000 0.0000
2.4991 4.3285 0.0000
2.4991 1.4428 4.0810
Mg Ce Hg Pt
1 1 1 1
direct
0.7500 0.7500 0.7500 Mg
0.2500 0.2500 0.2500 Ce
0.5000 0.5000 0.5000 Hg
0.0000 0.0000 0.0000 Pt
```

## Properties
calculated formation energy: -2.42 eV per formula unit
space group: No. 216

---

Entry 9:
A relaxed structure of CePuMgHg. Source: the Alexandria database, functional PBE.

The structure in POSCAR format:
```
CePuMgHg
1.0
-0.7057 -4.6773 -2.5378
3.5465 -3.9748 0.6623
-1.3688 -4.3827 2.7809
Mg Hg Ce Pu
1 1 1 1
direct
0.0000 0.0000 0.0000 Mg
0.5000 0.5000 0.5000 Hg
0.2500 0.2500 0.2500 Ce
0.7500 0.7500 0.7500 Pu
```

## Properties
calculated formation energy: 0.03 eV per formula unit
space group: No. 216

---

Entry 10:
A relaxed structure of CePuMg2Hg4. Source: the Alexandria database, functional PBE.

The structure in POSCAR format:
```
CePuMg2Hg4
1.0
5.1651 0.0000 0.0000
2.5825 4.4731 0.0000
2.5825 1.4910 8.4544
Ce Pu Mg Hg
1 1 2 4
direct
0.0000 0.0000 0.0000 Ce
0.5000 0.5000 0.5000 Pu
0.7509 0.7509 0.7473 Mg
0.2491 0.2491 0.2527 Mg
0.3760 0.3760 0.8719 Hg
0.8743 0.8743 0.3772 Hg
0.1257 0.1257 0.6228 Hg
0.6240 0.6240 0.1281 Hg
```

## Properties
calculated formation energy: -2.44 eV per formula unit
space group: No. 166

---

Entry 11:
A relaxed structure of CeMg2HgRu. Source: the Alexandria database, functional PBE.

The structure in POSCAR format:
```
CeMg2HgRu
1.0
-4.7477 0.4571 -1.9408
-1.9420 -2.1954 4.2337
-0.4422 4.5380 2.1506
Ce Mg Hg Ru
1 2 1 1
direct
0.0000 0.0000 0.4754 Ce
0.0000 0.5000 0.9724 Mg
0.5000 0.0000 0.9724 Mg
0.5000 0.5000 0.5620 Hg
0.0000 0.0000 0.0178 Ru
```

## Properties
calculated formation energy: -0.69 eV per formula unit
space group: No. 99

---

Entry 12:
A relaxed structure of CeMgSc2Hg4. Source: the Alexandria database, functional PBE.

The structure in POSCAR format:
```
CeMgSc2Hg4
1.0
4.9611 0.0000 0.0000
2.4805 4.2964 0.0000
2.4805 1.4321 8.8488
Ce Mg Sc Hg
1 1 2 4
direct
0.0000 0.0000 0.0000 Ce
0.5000 0.5000 0.5000 Mg
0.7578 0.7578 0.7265 Sc
0.2422 0.2422 0.2735 Sc
0.3860 0.3860 0.8419 Hg
0.8732 0.8732 0.3805 Hg
0.1268 0.1268 0.6195 Hg
0.6140 0.6140 0.1581 Hg
```

## Properties
calculated formation energy: -2.67 eV per formula unit
space group: No. 166

---

Entry 13:
A relaxed structure of CeMg2ScHg4. Source: the Alexandria database, functional PBE.

The structure in POSCAR format:
```
CeMg2ScHg4
1.0
5.0253 0.0000 0.0000
2.5127 4.3521 0.0000
2.5127 1.4507 8.3793
Ce Mg Sc Hg
1 2 1 4
direct
0.0000 0.0000 0.0000 Ce
0.7516 0.7516 0.7453 Mg
0.2484 0.2484 0.2547 Mg
0.5000 0.5000 0.5000 Sc
0.3822 0.3822 0.8535 Hg
0.8705 0.8705 0.3884 Hg
0.1295 0.1295 0.6116 Hg
0.6178 0.6178 0.1465 Hg
```

## Properties
calculated formation energy: -3.01 eV per formula unit
space group: No. 166

---

Entry 14:
A relaxed structure of CeMg2ScHg2. Source: the Alexandria database, functional PBE.

The structure in POSCAR format:
```
CeMg2ScHg2
1.0
4.9800 0.0000 0.0000
-2.4900 4.3128 0.0000
0.0000 0.0000 6.5206
Ce Mg Sc Hg
1 2 1 2
direct
0.0000 0.0000 0.0000 Ce
0.3333 0.6667 0.7268 Mg
0.6667 0.3333 0.2732 Mg
0.0000 0.0000 0.5000 Sc
0.3333 0.6667 0.2523 Hg
0.6667 0.3333 0.7477 Hg
```

## Properties
calculated formation energy: -1.60 eV per formula unit
space group: No. 164

---

Entry 15:
A relaxed structure of CeMgScHg. Source: the Alexandria database, functional PBE.

The structure in POSCAR format:
```
CeMgScHg
1.0
-1.3400 -3.1628 -3.9404
0.5778 -5.1724 0.4878
-4.2083 -3.0712 0.4288
Sc Mg Hg Ce
1 1 1 1
direct
0.0000 0.0000 0.0000 Sc
0.7500 0.7500 0.7500 Mg
0.2500 0.2500 0.2500 Hg
0.5000 0.5000 0.5000 Ce
```

## Properties
calculated formation energy: -0.55 eV per formula unit
space group: No. 216

---

Entry 16:
A relaxed structure of CeMgSiHg. Source: the Alexandria database, functional PBE.

The structure in POSCAR format:
```
CeMgSiHg
1.0
-3.4266 -0.3438 3.6524
-3.5081 -3.5863 -0.1791
0.1600 -3.8317 3.2393
Mg Si Hg Ce
1 1 1 1
direct
0.5000 0.5000 0.5000 Mg
0.7500 0.7500 0.7500 Si
0.2500 0.2500 0.2500 Hg
0.0000 0.0000 0.0000 Ce
```

## Properties
formation energy from raw total energies: -301 meV/atom
space group: No. 216

---

Entry 17:
A relaxed structure of CeSmMg2Hg4. Source: the Alexandria database, functional PBE.

The structure in POSCAR format:
```
CeSmMg2Hg4
1.0
5.1608 0.0000 0.0000
2.5804 4.4694 0.0000
2.5804 1.4898 8.4462
Ce Sm Mg Hg
1 1 2 4
direct
0.0000 0.0000 0.0000 Ce
0.5000 0.5000 0.5000 Sm
0.7500 0.7500 0.7500 Mg
0.2500 0.2500 0.2500 Mg
0.3759 0.3759 0.8723 Hg
0.8742 0.8742 0.3774 Hg
0.1258 0.1258 0.6226 Hg
0.6241 0.6241 0.1277 Hg
```

## Properties
calculated formation energy: -3.44 eV per formula unit
space group: No. 166

---

Entry 18:
A relaxed structure of SrCeMg2Hg4. Source: the Alexandria database, functional PBE.

The structure in POSCAR format:
```
SrCeMg2Hg4
1.0
-2.9239 0.7866 4.2244
2.1900 -0.0023 4.7135
1.1470 8.8837 2.3370
Sr Ce Mg Hg
1 1 2 4
direct
0.0000 0.0000 0.0000 Sr
0.5000 0.5000 0.5000 Ce
0.7530 0.7530 0.7411 Mg
0.2470 0.2470 0.2589 Mg
0.3793 0.3793 0.8622 Hg
0.8750 0.8750 0.3749 Hg
0.1250 0.1250 0.6251 Hg
0.6207 0.6207 0.1378 Hg
```

## Properties
calculated formation energy: -3.11 eV per formula unit
space group: No. 166

---

Entry 19:
A relaxed structure of SrCeMgHg. Source: the Alexandria database, functional PBE.

The structure in POSCAR format:
```
SrCeMgHg
1.0
5.5852 0.0000 0.0000
2.7926 4.8369 0.0000
2.7926 1.6123 4.5603
Sr Mg Hg Ce
1 1 1 1
direct
0.7500 0.7500 0.7500 Sr
0.0000 0.0000 0.0000 Mg
0.5000 0.5000 0.5000 Hg
0.2500 0.2500 0.2500 Ce
```

## Properties
calculated formation energy: -0.50 eV per formula unit
space group: No. 216

---

Entry 20:
A relaxed structure of TbCeMgHg. Source: the Alexandria database, functional PBE.

The structure in POSCAR format:
```
TbCeMgHg
1.0
-4.3132 0.0612 -3.2017
0.3673 -1.8319 -5.0366
-2.3988 -4.6093 -1.3633
Mg Tb Hg Ce
1 1 1 1
direct
0.0000 0.0000 0.0000 Mg
0.2500 0.2500 0.2500 Tb
0.5000 0.5000 0.5000 Hg
0.7500 0.7500 0.7500 Ce
```

## Properties
calculated formation energy: -0.64 eV per formula unit
space group: No. 216